(1)
Compound: HfCdAs3
Source: the Alexandria database
Functional: PBE
Structure: optimized geometry

Values from the calculation:
DOS at the Fermi energy, states/eV/atom: 0.6996
Magnetic moment, μB per atom: 0.000
Energy of formation from the pure elements, eV per atom: 0.185
Energy above the most stable polymorph in this dataset, eV per atom: 0.0000

Cell: 5.1523 5.1523 5.1523 Å, 90.00 90.00 90.00°
Sites, in units of the cell vectors:
As: 0.5000 0.0000 0.0000
As: 0.0000 0.0000 0.5000
As: 0.0000 0.5000 0.0000
Cd: 0.5000 0.5000 0.5000
Hf: 0.0000 0.0000 0.0000

***

(2)
Compound: NdO2F3
Source: the Alexandria database
Functional: PBE
Structure: optimized geometry

Values from the calculation:
Total DFT energy (no corrections), eV per atom: -5.060
DOS at the Fermi energy, states/eV/atom: 0.0364
Magnetic moment, μB per atom: 0.667

Cell: 6.4263 6.4263 5.5807 Å, 69.22 69.22 55.47°
Site moments in Bohr magnetons follow the coordinates.
Sites, in units of the cell vectors:
O: 0.3501 0.3324 0.6405  1.40
O: 0.3324 0.3501 0.1405  1.40
O: 0.6676 0.6499 0.8595  1.40
O: 0.6499 0.6676 0.3595  1.40
F: 0.8777 0.8725 0.6013  0.11
F: 0.6322 0.3678 0.2500  0.37
F: 0.1223 0.1275 0.3987  0.11
F: 0.3678 0.6322 0.7500  0.37
F: 0.1275 0.1223 0.8987  0.11
F: 0.8725 0.8777 0.1013  0.11
Nd: 0.2219 0.7781 0.2500  -0.02
Nd: 0.7781 0.2219 0.7500  -0.02

***

(3)
Compound: TbNdPd2
Source: the Alexandria database
Functional: PBE
Structure: optimized geometry

Values from the calculation:
DOS at the Fermi energy, states/eV/atom: 0.7856
Magnetic moment, μB per atom: 0.000
Energy of formation from the pure elements, eV per atom: -0.797
Energy above the most stable polymorph in this dataset, eV per atom: 0.0553

Cell: 3.5129 3.5129 7.3744 Å, 90.00 90.00 90.00°
Sites, in units of the cell vectors:
Nd: 0.5000 0.5000 0.5000
Pd: 0.0000 0.0000 0.2319
Pd: 0.0000 0.0000 0.7681
Tb: 0.5000 0.5000 0.0000

***

(4)
Compound: Rb3PmSm2O6
Source: the Alexandria database
Functional: PBE
Structure: optimized geometry

Values from the calculation:
Total DFT energy (no corrections), eV per atom: -6.504
DOS at the Fermi energy, states/eV/atom: 0.0000
Magnetic moment, μB per atom: 0.000

Cell: 6.2725 6.2725 6.9216 Å, 98.69 98.69 120.00°
Sites, in units of the cell vectors:
O: 0.3945 0.0597 0.1791
O: 0.6055 0.9403 0.8209
O: 0.2750 0.2750 0.8208
O: 0.9403 0.6055 0.8209
O: 0.7250 0.7250 0.1792
O: 0.0597 0.3945 0.1791
Sm: 0.6667 0.3333 0.0000
Sm: 0.3333 0.6667 0.0000
Pm: 0.0000 0.0000 0.0000
Rb: 0.5000 0.5000 0.5000
Rb: 0.1668 0.8332 0.5000
Rb: 0.8332 0.1668 0.5000